LaMgTc2 after structural relaxation, computed with PBE.

```
LaMgTc2
1.0
4.839 0.000 0.000
0.000 3.166 0.000
-1.876 0.000 4.963
La Mg Tc
1 1 2
direct
0.000 0.000 0.000
0.000 0.500 0.500
0.500 0.000 0.500
0.500 0.500 0.000
```

Values from the calculation:
**Formation enthalpy at 0 K**: 0.52 eV/atom
**Symmetry**: P2/m, No. 10


Y7Cd2Co2 after structural relaxation, computed with PBE.

```
Y7Cd2Co2
1.0
3.891 -5.495 0.000
3.891 5.495 0.000
0.000 0.000 7.072
Y Cd Co
7 2 2
direct
0.000 0.000 0.000
0.000 0.500 0.244
0.000 0.500 0.756
0.500 0.000 0.244
0.500 0.000 0.756
0.500 0.500 0.234
0.500 0.500 0.766
0.178 0.178 0.500
0.822 0.822 0.500
0.292 0.708 0.000
0.708 0.292 0.000
```

Values from the calculation:
**Formation enthalpy at 0 K**: -0.11 eV/atom
**Symmetry**: Cmmm, No. 65


SrAgSnI5 after structural relaxation, computed with PBE.

```
SrAgSnI5
1.0
5.184 -6.706 0.000
5.184 6.706 0.000
-4.701 0.000 10.608
Sr Ag Sn I
2 2 2 10
direct
0.000 0.500 0.000
0.500 0.000 0.500
0.070 0.930 0.750
0.930 0.070 0.250
0.385 0.615 0.750
0.615 0.385 0.250
0.163 0.295 0.808
0.174 0.745 0.555
0.255 0.826 0.945
0.295 0.163 0.308
0.365 0.635 0.250
0.635 0.365 0.750
0.705 0.837 0.692
0.745 0.174 0.055
0.826 0.255 0.445
0.837 0.705 0.192
```

Values from the calculation:
**Formation energy from raw total energies**: -6.42 eV/f.u.
**Symmetry**: C2/c, No. 15


Er5ZnHg6 after structural relaxation, computed with PBE.

```
Er5ZnHg6
1.0
-2.541 3.683 7.746
2.541 -3.683 7.746
2.541 3.683 -7.746
Er Zn Hg
5 1 6
direct
0.000 0.000 0.000
0.170 0.670 0.500
0.341 0.341 0.000
0.659 0.659 0.000
0.830 0.330 0.500
0.500 0.000 0.500
0.090 0.836 0.254
0.252 0.500 0.752
0.418 0.164 0.254
0.582 0.836 0.746
0.748 0.500 0.248
0.910 0.164 0.746
```

Values from the calculation:
**Formation enthalpy at 0 K**: -0.40 eV/atom
**Symmetry**: Immm, No. 71


Co2CuTc after structural relaxation, computed with PBE.

```
Co2CuTc
1.0
-3.205 3.205 2.552
3.205 -3.205 2.552
3.205 3.205 -2.552
Co Cu Tc
4 2 2
direct
0.110 0.625 0.985
0.375 0.360 0.485
0.640 0.125 0.015
0.875 0.890 0.515
0.250 0.750 0.500
0.500 0.500 0.000
0.000 0.000 0.000
0.750 0.250 0.500
```

Values from the calculation:
**Formation enthalpy at 0 K**: 0.69 eV/atom
**Symmetry**: I-42d, No. 122


NaBS after structural relaxation, computed with PBE.

```
NaBS
1.0
0.000 6.349 7.813
2.768 0.000 7.813
2.768 6.349 0.000
Na B S
4 4 4
direct
0.000 0.305 0.695
0.000 0.695 0.305
0.305 0.000 0.000
0.695 0.000 0.000
0.400 0.400 0.600
0.440 0.560 0.440
0.560 0.440 0.560
0.600 0.600 0.400
0.214 0.464 0.536
0.464 0.214 0.786
0.536 0.786 0.214
0.786 0.536 0.464
```

Values from the calculation:
**Formation energy from raw total energies**: -0.50 eV/f.u.
**Symmetry**: Fmmm, No. 69


Respective final energy values: -25.18 -62.54 -45.42 -30.75 -51.82 -50.50 eV/cell.